1.
The following is a DFT calculation (PBE-GGA) of SnGe2Bi2 after structural relaxation.

DOS(E_F): 0.517 states/eV per atom
Energy above the most stable polymorph in this dataset: 8.4 kJ/mol of atoms
Theoretical density: 8.12 g/cm3
DFT formation energy: 0.285 eV/atom

Cell and atoms, written as CIF:
```
data_SnGe2Bi2
_cell_length_a 8.580
_cell_length_b 8.580
_cell_length_c 3.788
_cell_angle_alpha 90.00
_cell_angle_beta 90.00
_cell_angle_gamma 90.00
_symmetry_space_group_name_H-M 'P 1'
_symmetry_Int_Tables_number 1
_symmetry_space_group_name_Hall 'P 1'
loop_
_atom_site_label
_atom_site_type_symbol
_atom_site_fract_x
_atom_site_fract_y
_atom_site_fract_z
_atom_site_occupancy
Bi1 Bi 0.661 0.161 0.000 1
Sn1 Sn 0.000 0.000 0.000 1
Bi2 Bi 0.339 0.839 0.000 1
Ge1 Ge 0.376 0.124 0.500 1
Ge2 Ge 0.624 0.876 0.500 1
Bi3 Bi 0.161 0.339 0.000 1
Ge3 Ge 0.876 0.376 0.500 1
Sn2 Sn 0.500 0.500 0.000 1
Ge4 Ge 0.124 0.624 0.500 1
Bi4 Bi 0.839 0.661 0.000 1
```

=====

2.
The following is a DFT calculation (PBE-GGA) of Sn2GeBi after structural relaxation.

DOS(E_F): 0.608 states/eV per atom
Energy above the most stable polymorph in this dataset: 0.0 kJ/mol of atoms
Theoretical density: 7.70 g/cm3
DFT formation energy: 0.124 eV/atom

Cell and atoms, written as CIF:
```
data_Sn2GeBi
_cell_length_a 4.171
_cell_length_b 4.171
_cell_length_c 7.806
_cell_angle_alpha 74.51
_cell_angle_beta 74.51
_cell_angle_gamma 60.00
_symmetry_space_group_name_H-M 'P 1'
_symmetry_Int_Tables_number 1
_symmetry_space_group_name_Hall 'P 1'
loop_
_atom_site_label
_atom_site_type_symbol
_atom_site_fract_x
_atom_site_fract_y
_atom_site_fract_z
_atom_site_occupancy
Bi1 Bi 0.500 0.500 0.500 1
Ge1 Ge 0.000 0.000 0.000 1
Sn1 Sn 0.262 0.262 0.215 1
Sn2 Sn 0.738 0.738 0.785 1
```

=====

3.
The following is a DFT calculation (PBE-GGA) of SnGe2Bi after structural relaxation.

DOS(E_F): 0.438 states/eV per atom
Energy above the most stable polymorph in this dataset: 4.0 kJ/mol of atoms
Theoretical density: 8.05 g/cm3
DFT formation energy: 0.250 eV/atom

Cell and atoms, written as CIF:
```
data_SnGe2Bi
_cell_length_a 5.168
_cell_length_b 5.168
_cell_length_c 5.168
_cell_angle_alpha 60.00
_cell_angle_beta 60.00
_cell_angle_gamma 60.00
_symmetry_space_group_name_H-M 'P 1'
_symmetry_Int_Tables_number 1
_symmetry_space_group_name_Hall 'P 1'
loop_
_atom_site_label
_atom_site_type_symbol
_atom_site_fract_x
_atom_site_fract_y
_atom_site_fract_z
_atom_site_occupancy
Bi1 Bi 0.500 0.500 0.500 1
Ge1 Ge 0.750 0.750 0.750 1
Sn1 Sn 0.000 0.000 0.000 1
Ge2 Ge 0.250 0.250 0.250 1
```

=====

4.
The following is a DFT calculation (PBE-GGA) of Sn2GeBi after structural relaxation.

DOS(E_F): 0.505 states/eV per atom
Energy above the most stable polymorph in this dataset: 7.2 kJ/mol of atoms
Theoretical density: 8.06 g/cm3
DFT formation energy: 0.199 eV/atom

Cell and atoms, written as CIF:
```
data_Sn2GeBi
_cell_length_a 5.328
_cell_length_b 5.328
_cell_length_c 5.328
_cell_angle_alpha 60.00
_cell_angle_beta 60.00
_cell_angle_gamma 60.00
_symmetry_space_group_name_H-M 'P 1'
_symmetry_Int_Tables_number 1
_symmetry_space_group_name_Hall 'P 1'
loop_
_atom_site_label
_atom_site_type_symbol
_atom_site_fract_x
_atom_site_fract_y
_atom_site_fract_z
_atom_site_occupancy
Sn1 Sn 0.750 0.750 0.750 1
Ge1 Ge 0.000 0.000 0.000 1
Sn2 Sn 0.250 0.250 0.250 1
Bi1 Bi 0.500 0.500 0.500 1
```

=====

5.
The following is a DFT calculation (PBE-GGA) of SnGe3Bi after structural relaxation.

DOS(E_F): 0.593 states/eV per atom
Energy above the most stable polymorph in this dataset: 0.0 kJ/mol of atoms
Theoretical density: 6.11 g/cm3
DFT formation energy: 0.757 eV/atom

Cell and atoms, written as CIF:
```
data_SnGe3Bi
_cell_length_a 5.292
_cell_length_b 5.292
_cell_length_c 5.292
_cell_angle_alpha 90.00
_cell_angle_beta 90.00
_cell_angle_gamma 90.00
_symmetry_space_group_name_H-M 'P 1'
_symmetry_Int_Tables_number 1
_symmetry_space_group_name_Hall 'P 1'
loop_
_atom_site_label
_atom_site_type_symbol
_atom_site_fract_x
_atom_site_fract_y
_atom_site_fract_z
_atom_site_occupancy
Ge1 Ge 0.500 0.000 0.000 1
Bi1 Bi 0.500 0.500 0.500 1
Sn1 Sn 0.000 0.000 0.000 1
Ge2 Ge 0.000 0.500 0.000 1
Ge3 Ge 0.000 0.000 0.500 1
```

=====

6.
The following is a DFT calculation (PBE-GGA) of SnGe2Bi2 after structural relaxation.

DOS(E_F): 0.533 states/eV per atom
Energy above the most stable polymorph in this dataset: 4.1 kJ/mol of atoms
Theoretical density: 8.07 g/cm3
DFT formation energy: 0.240 eV/atom

Cell and atoms, written as CIF:
```
data_SnGe2Bi2
_cell_length_a 5.664
_cell_length_b 5.664
_cell_length_c 5.932
_cell_angle_alpha 61.49
_cell_angle_beta 61.49
_cell_angle_gamma 90.00
_symmetry_space_group_name_H-M 'P 1'
_symmetry_Int_Tables_number 1
_symmetry_space_group_name_Hall 'P 1'
loop_
_atom_site_label
_atom_site_type_symbol
_atom_site_fract_x
_atom_site_fract_y
_atom_site_fract_z
_atom_site_occupancy
Ge1 Ge 0.355 0.355 0.290 1
Bi1 Bi 0.750 0.250 0.500 1
Ge2 Ge 0.645 0.645 0.710 1
Sn1 Sn 0.000 0.000 0.000 1
Bi2 Bi 0.250 0.750 0.500 1
```

=====

7.
The following is a DFT calculation (PBE-GGA) of SnGeBi2 after structural relaxation.

DOS(E_F): 0.577 states/eV per atom
Theoretical density: 8.52 g/cm3
DFT formation energy: 0.150 eV/atom

Cell and atoms, written as CIF:
```
data_SnGeBi2
_cell_length_a 4.382
_cell_length_b 4.382
_cell_length_c 7.575
_cell_angle_alpha 73.19
_cell_angle_beta 73.19
_cell_angle_gamma 60.00
_symmetry_space_group_name_H-M 'P 1'
_symmetry_Int_Tables_number 1
_symmetry_space_group_name_Hall 'P 1'
loop_
_atom_site_label
_atom_site_type_symbol
_atom_site_fract_x
_atom_site_fract_y
_atom_site_fract_z
_atom_site_occupancy
Bi1 Bi 0.256 0.256 0.231 1
Bi2 Bi 0.744 0.744 0.769 1
Ge1 Ge 0.000 0.000 0.000 1
Sn1 Sn 0.500 0.500 0.500 1
```

=====

8.
The following is a DFT calculation (PBE-GGA) of SnGeBi2 after structural relaxation.

DOS(E_F): 1.178 states/eV per atom
Theoretical density: 6.28 g/cm3
DFT formation energy: 0.275 eV/atom

Cell and atoms, written as CIF:
```
data_SnGeBi2
_cell_length_a 6.879
_cell_length_b 6.879
_cell_length_c 8.370
_cell_angle_alpha 65.74
_cell_angle_beta 65.74
_cell_angle_gamma 90.00
_symmetry_space_group_name_H-M 'P 1'
_symmetry_Int_Tables_number 1
_symmetry_space_group_name_Hall 'P 1'
loop_
_atom_site_label
_atom_site_type_symbol
_atom_site_fract_x
_atom_site_fract_y
_atom_site_fract_z
_atom_site_occupancy
Bi1 Bi 0.604 0.125 0.250 1
Bi2 Bi 0.875 0.854 0.750 1
Bi3 Bi 0.146 0.625 0.250 1
Sn1 Sn 0.750 0.250 0.500 1
Ge1 Ge 0.250 0.750 0.500 1
Ge2 Ge 0.500 0.500 0.000 1
Bi4 Bi 0.375 0.396 0.750 1
Sn2 Sn 0.000 0.000 0.000 1
```

=====

9.
The following is a DFT calculation (PBE-GGA) of SnGe2Bi after structural relaxation.

DOS(E_F): 0.514 states/eV per atom
Energy above the most stable polymorph in this dataset: 0.0 kJ/mol of atoms
Theoretical density: 5.91 g/cm3
DFT formation energy: 0.208 eV/atom

Cell and atoms, written as CIF:
```
data_SnGe2Bi
_cell_length_a 6.427
_cell_length_b 6.427
_cell_length_c 7.881
_cell_angle_alpha 65.93
_cell_angle_beta 65.93
_cell_angle_gamma 90.00
_symmetry_space_group_name_H-M 'P 1'
_symmetry_Int_Tables_number 1
_symmetry_space_group_name_Hall 'P 1'
loop_
_atom_site_label
_atom_site_type_symbol
_atom_site_fract_x
_atom_site_fract_y
_atom_site_fract_z
_atom_site_occupancy
Sn1 Sn 0.500 0.500 0.000 1
Bi1 Bi 0.000 0.000 0.000 1
Ge1 Ge 0.606 0.125 0.250 1
Sn2 Sn 0.250 0.750 0.500 1
Ge2 Ge 0.144 0.625 0.250 1
Ge3 Ge 0.875 0.856 0.750 1
Bi2 Bi 0.750 0.250 0.500 1
Ge4 Ge 0.375 0.394 0.750 1
```

=====

10.
The following is a DFT calculation (PBE-GGA) of SnGe2Bi2 after structural relaxation.

DOS(E_F): 0.658 states/eV per atom
Energy above the most stable polymorph in this dataset: 3.9 kJ/mol of atoms
Theoretical density: 8.57 g/cm3
DFT formation energy: 0.238 eV/atom

Cell and atoms, written as CIF:
```
data_SnGe2Bi2
_cell_length_a 8.058
_cell_length_b 8.058
_cell_length_c 4.072
_cell_angle_alpha 90.00
_cell_angle_beta 90.00
_cell_angle_gamma 90.00
_symmetry_space_group_name_H-M 'P 1'
_symmetry_Int_Tables_number 1
_symmetry_space_group_name_Hall 'P 1'
loop_
_atom_site_label
_atom_site_type_symbol
_atom_site_fract_x
_atom_site_fract_y
_atom_site_fract_z
_atom_site_occupancy
Ge1 Ge 0.873 0.627 0.000 1
Ge2 Ge 0.373 0.873 0.000 1
Bi1 Bi 0.832 0.332 0.500 1
Sn1 Sn 0.500 0.500 0.000 1
Ge3 Ge 0.127 0.373 0.000 1
Bi2 Bi 0.668 0.832 0.500 1
Ge4 Ge 0.627 0.127 0.000 1
Sn2 Sn 0.000 0.000 0.000 1
Bi3 Bi 0.332 0.168 0.500 1
Bi4 Bi 0.168 0.668 0.500 1
```

=====

11.
The following is a DFT calculation (PBE-GGA) of Sn2GeBi after structural relaxation.

DOS(E_F): 0.653 states/eV per atom
Energy above the most stable polymorph in this dataset: 6.3 kJ/mol of atoms
Theoretical density: 7.98 g/cm3
DFT formation energy: 0.189 eV/atom

Cell and atoms, written as CIF:
```
data_Sn2GeBi
_cell_length_a 4.957
_cell_length_b 4.668
_cell_length_c 4.668
_cell_angle_alpha 90.00
_cell_angle_beta 90.00
_cell_angle_gamma 90.00
_symmetry_space_group_name_H-M 'P 1'
_symmetry_Int_Tables_number 1
_symmetry_space_group_name_Hall 'P 1'
loop_
_atom_site_label
_atom_site_type_symbol
_atom_site_fract_x
_atom_site_fract_y
_atom_site_fract_z
_atom_site_occupancy
Bi1 Bi 0.500 0.500 0.500 1
Ge1 Ge 0.500 0.000 0.000 1
Sn1 Sn 0.000 0.500 0.000 1
Sn2 Sn 0.000 0.000 0.500 1
```

=====

Across the entries above, VASP energy takes the values -19.58; -16.01; -16.12; -15.71; -17.95; -19.80; -15.78; -15.28; -16.29; -19.81; -15.75 eV per formula unit, respectively.